Record 1
IrOs2W: relaxed, PBE-GGA.

Geometry as CIF:
```
data_IrOs2W
_chemical_formula_sum 'Ir1 Os2 W1'
_symmetry_space_group_name_H-M 'P 4/m m m'
_symmetry_Int_Tables_number 123
_symmetry_space_group_name_Hall '-P 4 2'
_cell_length_a 3.901
_cell_length_b 3.901
_cell_length_c 3.873
_cell_angle_alpha 90.00
_cell_angle_beta 90.00
_cell_angle_gamma 90.00
loop_
_atom_site_label
_atom_site_type_symbol
_atom_site_fract_x
_atom_site_fract_y
_atom_site_fract_z
Ir1 Ir 0.000 0.000 0.000
Os1 Os 0.000 0.500 0.500
W1 W 0.500 0.500 0.000
```

Output
The formation energy comes out at -0.1231 eV/atom.


Record 2
RuRhSeBr2: relaxed, PBE-GGA.

Geometry as CIF:
```
data_RuRhSeBr2
_chemical_formula_sum 'Ru1 Rh1 Se1 Br2'
_symmetry_space_group_name_H-M 'P 4/m m m'
_symmetry_Int_Tables_number 123
_symmetry_space_group_name_Hall '-P 4 2'
_cell_length_a 5.142
_cell_length_b 5.142
_cell_length_c 4.748
_cell_angle_alpha 90.00
_cell_angle_beta 90.00
_cell_angle_gamma 90.00
loop_
_atom_site_label
_atom_site_type_symbol
_atom_site_fract_x
_atom_site_fract_y
_atom_site_fract_z
Ru1 Ru 0.000 0.000 0.000
Rh1 Rh 0.500 0.500 0.500
Se1 Se 0.500 0.500 0.000
Br1 Br 0.000 0.500 0.500
```

Output
The uncorrected formation energy comes out at 0.86 eV per atom.


Record 3
HfScCl2: relaxed, PBE-GGA.

Geometry as CIF:
```
data_HfScCl2
_chemical_formula_sum 'Hf4 Sc4 Cl8'
_symmetry_space_group_name_H-M 'F m -3 m'
_symmetry_Int_Tables_number 225
_symmetry_space_group_name_Hall '-F 4 2 3'
_cell_length_a 6.577
_cell_length_b 6.577
_cell_length_c 6.577
_cell_angle_alpha 90.00
_cell_angle_beta 90.00
_cell_angle_gamma 90.00
loop_
_atom_site_label
_atom_site_type_symbol
_atom_site_fract_x
_atom_site_fract_y
_atom_site_fract_z
Hf1 Hf 0.000 0.000 0.000
Sc1 Sc 0.000 0.000 0.500
Cl1 Cl 0.250 0.250 0.250
```

Output
The uncorrected formation energy comes out at -0.35 eV per atom.


Record 4
Cu3Ni: relaxed, PBE-GGA.

Geometry as CIF:
```
data_Cu3Ni
_chemical_formula_sum 'Cu12 Ni4'
_symmetry_space_group_name_H-M 'I 4/m m m'
_symmetry_Int_Tables_number 139
_symmetry_space_group_name_Hall '-I 4 2'
_cell_length_a 3.624
_cell_length_b 3.624
_cell_length_c 14.108
_cell_angle_alpha 90.00
_cell_angle_beta 90.00
_cell_angle_gamma 90.00
loop_
_atom_site_label
_atom_site_type_symbol
_atom_site_fract_x
_atom_site_fract_y
_atom_site_fract_z
Cu1 Cu 0.000 0.000 0.125
Cu2 Cu 0.000 0.500 0.000
Cu3 Cu 0.000 0.500 0.250
Ni1 Ni 0.000 0.000 0.375
```

Output
The formation energy comes out at 0.0027 eV/atom.


So what do the calculations give for calculated total energy? Going down the list: -11.192; -3.833; -5.342; -4.515 eV per atom.